Density functional theory data (PBE-GGA) for a relaxed structure of TaSbTeN2.

```
TaSbTeN2
1.0
4.0756 0.0000 0.0000
0.0000 4.0756 0.0000
0.0000 0.0000 6.0253
Ta Sb Te N
1 1 1 2
Direct
0.0000 0.0000 0.0000
0.5000 0.5000 0.5000
0.5000 0.5000 0.0000
0.0000 0.5000 0.5000
0.5000 0.0000 0.5000
```

Output
Total moment, μB per atom: 0.282
DOS at the Fermi energy, states/eV per atom: 0.96
Energy relative to the elements, uncorrected, meV/atom: 1700



Density functional theory data (PBE-GGA) for a relaxed structure of CeTmPaAl.

```
CeTmPaAl
1.0
0.0000 3.6407 3.6407
3.6407 0.0000 3.6407
3.6407 3.6407 0.0000
Ce Tm Pa Al
1 1 1 1
Direct
0.0000 0.0000 0.0000
0.7500 0.7500 0.7500
0.2500 0.2500 0.2500
0.5000 0.5000 0.5000
```

Output
Total moment, μB per atom: 0.357
DFT formation energy, meV per atom: 111.7
DOS at the Fermi energy, states/eV per atom: 2.52



Density functional theory data (PBE-GGA) for a relaxed structure of SrHfCd2.

```
SrHfCd2
1.0
0.0000 3.7504 3.7504
3.7504 0.0000 3.7504
3.7504 3.7504 0.0000
Sr Hf Cd
1 1 2
Direct
0.0000 0.0000 0.0000
0.5000 0.5000 0.5000
0.2500 0.2500 0.2500
0.7500 0.7500 0.7500
```

Output
Total moment, μB per atom: 0.000
DFT formation energy, meV per atom: 134.9
DOS at the Fermi energy, states/eV per atom: 1.03



Density functional theory data (PBE-GGA) for a relaxed structure of Pm6SmTm8.

```
Pm6SmTm8
1.0
4.5100 2.6038 6.9238
-4.5100 2.6038 6.9238
0.0000 -5.2077 6.9238
Pm Sm Tm
6 1 8
Direct
0.0375 0.6045 0.7261
0.2739 0.9625 0.3955
0.3955 0.2739 0.9625
0.6045 0.7261 0.0375
0.7261 0.0375 0.6045
0.9625 0.3955 0.2739
0.5000 0.5000 0.5000
0.0765 0.0765 0.0765
0.2161 0.6119 0.2481
0.2481 0.2161 0.6119
0.3881 0.7519 0.7839
0.6119 0.2481 0.2161
0.7519 0.7839 0.3881
0.7839 0.3881 0.7519
0.9235 0.9235 0.9235
```

Output
Total moment, μB per atom: 0.000
DFT formation energy, meV per atom: 127.8
DOS at the Fermi energy, states/eV per atom: 1.44



Density functional theory data (PBE-GGA) for a relaxed structure of LaZrTl3.

```
LaZrTl3
1.0
5.5304 0.0000 0.0000
0.0000 5.5304 0.0000
0.0000 0.0000 5.5304
La Zr Tl
1 1 3
Direct
0.0000 0.0000 0.0000
0.5000 0.5000 0.5000
0.0000 0.5000 0.5000
0.5000 0.0000 0.5000
0.5000 0.5000 0.0000
```

Output
Total moment, μB per atom: 0.000
DFT formation energy, meV per atom: 155.9
DOS at the Fermi energy, states/eV per atom: 0.44



Density functional theory data (PBE-GGA) for a relaxed structure of Li2YOs.

```
Li2YOs
1.0
-1.9799 1.9799 10.1018
1.9799 -1.9799 10.1018
1.9799 1.9799 -10.1018
Li Y Os
4 2 2
Direct
0.0535 0.6250 0.9285
0.3750 0.3035 0.4285
0.6965 0.1250 0.0715
0.8750 0.9465 0.5715
0.2500 0.7500 0.5000
0.5000 0.5000 0.0000
0.0000 0.0000 0.0000
0.7500 0.2500 0.5000
```

Output
Total moment, μB per atom: 0.000
DFT formation energy, meV per atom: 378.5
DOS at the Fermi energy, states/eV per atom: 1.04